# MgOsPt, single point on PBEsol structure, DFT SCAN
# - volume (Å³ per cell) = 90
# - formation energy (eV per atom) = 0.03
# - crystal system = orthorhombic
# - energy relative to the lowest polymorph listed for this composition (meV/atom) = 70.4
data_MgOsPt
_symmetry_space_group_name_H-M 'I m m 2'
_symmetry_Int_Tables_number 44
_symmetry_space_group_name_Hall 'I 2 -2'
_cell_length_a 2.6927
_cell_length_b 4.0289
_cell_length_c 8.2631
_cell_angle_alpha 90.00
_cell_angle_beta 90.00
_cell_angle_gamma 90.00
loop_
_atom_site_label
_atom_site_type_symbol
_atom_site_fract_x
_atom_site_fract_y
_atom_site_fract_z
Mg1 Mg 0.0000 0.0000 0.0000
Os1 Os 0.0000 0.0000 0.6677
Pt1 Pt 0.0000 0.0000 0.3334

# RbMg2OsPt, single point on PBEsol structure, DFT SCAN
# - volume (Å³ per cell) = 113
# - formation energy (eV per atom) = 2.51
# - crystal system = tetragonal
data_RbMg2OsPt
_symmetry_space_group_name_H-M 'P 4/m m m'
_symmetry_Int_Tables_number 123
_symmetry_space_group_name_Hall '-P 4 2'
_cell_length_a 4.9445
_cell_length_b 4.9445
_cell_length_c 4.6103
_cell_angle_alpha 90.00
_cell_angle_beta 90.00
_cell_angle_gamma 90.00
loop_
_atom_site_label
_atom_site_type_symbol
_atom_site_fract_x
_atom_site_fract_y
_atom_site_fract_z
Rb1 Rb 0.0000 0.0000 0.0000
Mg1 Mg 0.0000 0.5000 0.0000
Os1 Os 0.0000 0.0000 0.5000
Pt1 Pt 0.5000 0.5000 0.5000

# MgTa2OsPt, single point on PBEsol structure, DFT SCAN
# - volume (Å³ per cell) = 104
# - formation energy (eV per atom) = 1.20
# - crystal system = tetragonal
data_MgTa2OsPt
_symmetry_space_group_name_H-M 'P 4/m m m'
_symmetry_Int_Tables_number 123
_symmetry_space_group_name_Hall '-P 4 2'
_cell_length_a 4.7977
_cell_length_b 4.7977
_cell_length_c 4.5075
_cell_angle_alpha 90.00
_cell_angle_beta 90.00
_cell_angle_gamma 90.00
loop_
_atom_site_label
_atom_site_type_symbol
_atom_site_fract_x
_atom_site_fract_y
_atom_site_fract_z
Mg1 Mg 0.0000 0.0000 0.0000
Ta1 Ta 0.0000 0.5000 0.5000
Os1 Os 0.5000 0.5000 0.0000
Pt1 Pt 0.0000 0.0000 0.5000

# RbMgZr2Os, single point on PBEsol structure, DFT SCAN
# - volume (Å³ per cell) = 114
# - formation energy (eV per atom) = 2.27
# - crystal system = tetragonal
data_RbMgZr2Os
_symmetry_space_group_name_H-M 'P 4/m m m'
_symmetry_Int_Tables_number 123
_symmetry_space_group_name_Hall '-P 4 2'
_cell_length_a 4.8943
_cell_length_b 4.8943
_cell_length_c 4.7602
_cell_angle_alpha 90.00
_cell_angle_beta 90.00
_cell_angle_gamma 90.00
loop_
_atom_site_label
_atom_site_type_symbol
_atom_site_fract_x
_atom_site_fract_y
_atom_site_fract_z
Rb1 Rb 0.0000 0.0000 0.0000
Mg1 Mg 0.5000 0.5000 0.5000
Zr1 Zr 0.0000 0.5000 0.0000
Os1 Os 0.0000 0.0000 0.5000